No. 1
Entry from the Alexandria database: Ir2Rh3 after structural relaxation (PBE).

ΔE_f: 0.888 eV/atom
Size of the total moment: 0.00 μB per cell
Energy above the lowest structure with this stoichiometry: 4.50 eV per formula unit

a b c (Å): 3.680 3.680 21.349
angles (deg): 90.00 90.00 120.00
Positions (direct):
Ir 0.000 0.000 0.100
Ir 0.000 0.000 0.900
Ir 0.333 0.667 0.567
Ir 0.333 0.667 0.766
Ir 0.667 0.333 0.234
Ir 0.667 0.333 0.433
Rh 0.000 0.000 0.298
Rh 0.000 0.000 0.500
Rh 0.000 0.000 0.702
Rh 0.333 0.667 0.167
Rh 0.333 0.667 0.369
Rh 0.333 0.667 0.964
Rh 0.667 0.333 0.036
Rh 0.667 0.333 0.631
Rh 0.667 0.333 0.833

No. 2
Entry from the Alexandria database: Ir5Rh3 after structural relaxation (PBE).

ΔE_f: -0.001 eV/atom
Size of the total moment: 0.00 μB per cell
Energy above the lowest structure with this stoichiometry: 0.09 eV per formula unit

a b c (Å): 2.734 5.471 7.706
angles (deg): 90.00 90.00 90.00
Positions (direct):
Ir 0.000 0.000 0.000
Ir 0.000 0.000 0.497
Ir 0.000 0.500 0.000
Ir 0.500 0.249 0.248
Ir 0.500 0.751 0.248
Rh 0.000 0.500 0.497
Rh 0.500 0.249 0.749
Rh 0.500 0.751 0.749

No. 3
Entry from the Alexandria database: Ir3Rh after structural relaxation (PBE).

ΔE_f: 0.052 eV/atom
Size of the total moment: 0.00 μB per cell

a b c (Å): 2.738 2.738 8.941
angles (deg): 90.00 90.00 120.00
Positions (direct):
Ir 0.000 0.000 0.000
Ir 0.667 0.333 0.250
Ir 0.667 0.333 0.750
Rh 0.000 0.000 0.500

No. 4
Entry from the Alexandria database: Ir3Ru2Rh4 after structural relaxation (PBE).

ΔE_f: 0.115 eV/atom
Size of the total moment: 0.00 μB per cell

a b c (Å): 7.016 7.016 7.305
angles (deg): 105.18 105.18 22.31
Positions (direct):
Ir 0.000 0.000 0.000
Ir 0.172 0.172 0.898
Ir 0.828 0.828 0.102
Ru 0.341 0.341 0.793
Ru 0.659 0.659 0.207
Rh 0.163 0.163 0.522
Rh 0.486 0.486 0.316
Rh 0.514 0.514 0.684
Rh 0.837 0.837 0.478

No. 5
Entry from the Alexandria database: Ir7Ru4Rh after structural relaxation (PBE).

ΔE_f: 0.596 eV/atom
Size of the total moment: 0.00 μB per cell
Energy above the lowest structure with this stoichiometry: 7.47 eV per formula unit

a b c (Å): 5.738 5.738 9.363
angles (deg): 118.94 118.94 47.17
Positions (direct):
Ir 0.000 0.000 0.000
Ir 0.141 0.141 0.551
Ir 0.284 0.284 0.089
Ir 0.425 0.425 0.649
Ir 0.575 0.575 0.351
Ir 0.716 0.716 0.911
Ir 0.859 0.859 0.449
Ru 0.065 0.065 0.768
Ru 0.218 0.218 0.316
Ru 0.782 0.782 0.684
Ru 0.935 0.935 0.232
Rh 0.500 0.500 0.000

No. 6
Entry from the Alexandria database: Ir2RuRh4 after structural relaxation (PBE).

ΔE_f: 0.282 eV/atom
Size of the total moment: 0.00 μB per cell
Energy above the lowest structure with this stoichiometry: 0.00 eV per formula unit

a b c (Å): 5.371 5.371 7.544
angles (deg): 90.00 90.00 90.00
Positions (direct):
Ir 0.000 0.500 0.000
Ir 0.000 0.500 0.500
Ir 0.500 0.000 0.000
Ir 0.500 0.000 0.500
Ru 0.000 0.000 0.000
Ru 0.500 0.500 0.500
Rh 0.250 0.250 0.250
Rh 0.250 0.250 0.750
Rh 0.250 0.750 0.250
Rh 0.250 0.750 0.750
Rh 0.750 0.250 0.250
Rh 0.750 0.250 0.750
Rh 0.750 0.750 0.250
Rh 0.750 0.750 0.750

No. 7
Entry from the Alexandria database: Ir2Ru3Rh3 after structural relaxation (PBE).

ΔE_f: 0.019 eV/atom
Size of the total moment: 0.00 μB per cell
Energy above the lowest structure with this stoichiometry: 0.00 eV per formula unit

a b c (Å): 5.425 15.347 3.835
angles (deg): 90.00 134.80 90.00
Positions (direct):
Ir 0.000 0.248 0.000
Ir 0.000 0.752 0.000
Ir 0.500 0.252 0.000
Ir 0.500 0.748 0.000
Ru 0.000 0.373 0.500
Ru 0.000 0.500 0.000
Ru 0.000 0.627 0.500
Ru 0.500 0.000 0.000
Ru 0.500 0.127 0.500
Ru 0.500 0.873 0.500
Rh 0.000 0.000 0.000
Rh 0.000 0.123 0.500
Rh 0.000 0.877 0.500
Rh 0.500 0.377 0.500
Rh 0.500 0.500 0.000
Rh 0.500 0.623 0.500

No. 8
Entry from the Alexandria database: Ir2Ru6Rh after structural relaxation (PBE).

ΔE_f: 0.185 eV/atom
Size of the total moment: 0.00 μB per cell

a b c (Å): 7.738 7.738 7.738
angles (deg): 159.75 124.72 59.49
Positions (direct):
Ir 0.182 0.000 0.182
Ir 0.818 0.000 0.818
Ru 0.142 0.642 0.500
Ru 0.144 0.822 0.322
Ru 0.500 0.178 0.322
Ru 0.500 0.822 0.678
Ru 0.856 0.178 0.678
Ru 0.858 0.358 0.500
Rh 0.500 0.500 0.000

No. 9
Entry from the Alexandria database: Ir4RuRh7 after structural relaxation (PBE).

ΔE_f: -0.001 eV/atom
Size of the total moment: 0.00 μB per cell
Energy above the lowest structure with this stoichiometry: 0.00 eV per formula unit

a b c (Å): 2.721 2.721 26.711
angles (deg): 90.00 90.00 120.00
Positions (direct):
Ir 0.333 0.667 0.167
Ir 0.333 0.667 0.417
Ir 0.667 0.333 0.583
Ir 0.667 0.333 0.833
Ru 0.000 0.000 0.000
Rh 0.000 0.000 0.249
Rh 0.000 0.000 0.500
Rh 0.000 0.000 0.751
Rh 0.333 0.667 0.667
Rh 0.333 0.667 0.918
Rh 0.667 0.333 0.082
Rh 0.667 0.333 0.333

No. 10
Entry from the Alexandria database: Ir6Ru2Rh5 after structural relaxation (PBE).

ΔE_f: 0.136 eV/atom
Size of the total moment: 0.00 μB per cell

a b c (Å): 8.905 15.906 2.722
angles (deg): 90.00 90.00 90.00
Positions (direct):
Ir 0.065 0.140 0.000
Ir 0.082 0.436 0.000
Ir 0.192 0.873 0.500
Ir 0.308 0.373 0.500
Ir 0.418 0.936 0.000
Ir 0.435 0.640 0.000
Ir 0.565 0.360 0.000
Ir 0.582 0.064 0.000
Ir 0.692 0.627 0.500
Ir 0.808 0.127 0.500
Ir 0.918 0.564 0.000
Ir 0.935 0.860 0.000
Ru 0.201 0.732 0.000
Ru 0.299 0.232 0.000
Ru 0.701 0.768 0.000
Ru 0.799 0.268 0.000
Rh 0.000 0.000 0.500
Rh 0.050 0.293 0.500
Rh 0.196 0.575 0.500
Rh 0.304 0.075 0.500
Rh 0.450 0.793 0.500
Rh 0.500 0.500 0.500
Rh 0.550 0.207 0.500
Rh 0.696 0.925 0.500
Rh 0.804 0.425 0.500
Rh 0.950 0.707 0.500

No. 11
Entry from the Alexandria database: Ir2Ru5Rh2 after structural relaxation (PBE).

ΔE_f: 0.503 eV/atom
Size of the total moment: 0.00 μB per cell
Energy above the lowest structure with this stoichiometry: 4.30 eV per formula unit

a b c (Å): 6.494 6.494 6.563
angles (deg): 116.38 116.38 35.95
Positions (direct):
Ir 0.086 0.086 0.446
Ir 0.914 0.914 0.554
Ru 0.000 0.000 0.000
Ru 0.218 0.218 0.887
Ru 0.327 0.327 0.661
Ru 0.673 0.673 0.339
Ru 0.782 0.782 0.113
Rh 0.438 0.438 0.226
Rh 0.562 0.562 0.774

No. 12
Entry from the Alexandria database: IrRu2Rh3 after structural relaxation (PBE).

ΔE_f: 0.010 eV/atom
Size of the total moment: 0.00 μB per cell
Energy above the lowest structure with this stoichiometry: 0.00 eV per formula unit

a b c (Å): 5.409 3.838 8.180
angles (deg): 90.00 90.16 90.00
Positions (direct):
Ir 0.125 0.250 0.245
Ir 0.875 0.750 0.755
Ru 0.120 0.250 0.922
Ru 0.377 0.750 0.419
Ru 0.623 0.250 0.581
Ru 0.880 0.750 0.078
Rh 0.125 0.250 0.583
Rh 0.374 0.750 0.086
Rh 0.375 0.750 0.744
Rh 0.625 0.250 0.256
Rh 0.626 0.250 0.914
Rh 0.875 0.750 0.417